Version A
Mg6Si5 | the Alexandria database | PBE-GGA | relaxed; volume = 19.8 Å³ per atom
1.0
4.706 0.000 0.000
1.843 8.122 0.000
1.592 1.991 11.412
Mg Si
12 10
Cartesian
0.000 0.000 0.000
1.903 6.498 3.924
2.081 5.042 0.504
3.425 4.213 7.866
2.352 1.992 1.160
3.288 2.235 5.383
4.344 6.689 1.772
5.928 7.961 10.162
5.623 4.851 9.975
5.148 1.662 7.992
6.218 6.511 7.113
5.690 3.124 3.641
3.571 6.703 9.121
3.685 7.461 5.711
3.834 8.651 3.600
4.553 8.516 7.664
3.318 4.310 3.197
3.904 2.666 10.218
4.510 5.291 5.057
4.507 3.890 1.117
4.346 0.706 2.679
5.761 3.755 6.411

Version B
Mg6Si5 | the Alexandria database | PBE-GGA | relaxed; volume = 19.6 Å³ per atom
1.0
4.464 0.000 0.000
-0.763 7.205 0.000
-1.881 -0.333 13.392
Mg Si
12 10
Cartesian
0.000 0.000 0.000
-0.466 3.487 1.105
-0.782 4.799 4.362
-0.036 2.750 6.977
-0.163 5.797 7.997
-0.071 3.356 10.188
0.376 -0.273 11.064
1.252 0.092 5.219
1.349 2.983 4.048
1.522 5.447 2.246
2.160 1.226 1.882
2.363 1.196 8.938
-0.810 7.113 2.794
-0.142 2.032 12.877
-0.250 4.598 12.977
1.641 4.911 6.039
2.231 3.886 8.192
2.070 1.982 11.602
1.944 5.706 9.768
2.007 4.495 11.828
3.520 1.496 4.523
3.401 0.114 6.636

Verdict on stability: version B comes out at the bottom.

Version A
Mg6Si5 | the Alexandria database | PBE-GGA | relaxed; volume = 19.9 Å³ per atom
1.0
5.525 0.000 0.000
-0.569 6.488 0.000
-0.748 -1.964 12.223
Mg Si
12 10
Cartesian
0.000 0.000 0.000
-0.522 -0.974 9.208
-0.707 1.164 11.955
0.054 3.696 5.701
0.192 2.577 9.459
0.605 4.966 2.430
1.028 0.534 4.981
1.878 -0.482 11.168
2.797 3.250 3.844
2.830 2.635 6.773
3.601 -0.917 6.133
3.841 -0.003 3.320
-0.632 1.055 7.418
-0.025 2.382 3.197
1.613 1.131 1.977
1.638 0.418 7.851
1.173 3.240 11.901
1.415 4.551 8.158
2.731 3.569 10.034
3.454 4.489 1.368
3.752 2.074 1.429
3.285 1.301 9.396

Version B
Mg6Si5 | the Alexandria database | PBE-GGA | relaxed; volume = 19.3 Å³ per atom
1.0
4.293 0.000 0.000
-0.115 6.987 0.000
-0.086 -2.175 14.161
Mg Si
12 10
Cartesian
0.000 0.000 0.000
-0.040 0.021 4.780
-0.041 3.336 5.892
0.014 0.878 8.151
1.941 3.691 11.859
2.070 2.523 0.844
2.125 -0.166 2.384
2.080 2.455 3.922
2.106 2.883 8.806
2.217 -1.030 9.571
4.053 1.724 13.125
4.180 4.482 2.449
-0.130 5.191 7.762
-0.085 4.089 9.960
0.061 -1.082 11.558
1.189 1.058 10.903
1.983 5.096 4.409
2.019 5.143 0.356
2.134 -0.966 6.642
2.122 1.479 6.431
2.245 -0.516 12.505
4.240 1.628 2.377

Verdict on stability: version A comes out at the bottom.

Version A
Mg6Si5 | the Alexandria database | PBE-GGA | relaxed; volume = 19.3 Å³ per atom
1.0
7.068 0.000 0.000
0.000 4.142 0.000
-2.261 0.000 14.476
Mg Si
12 10
Cartesian
0.000 0.000 0.000
-1.699 2.071 12.067
-0.066 0.000 4.911
-0.163 0.000 7.920
1.206 2.071 2.798
0.875 2.071 9.858
0.637 0.000 12.622
1.861 2.071 6.421
3.287 0.000 1.486
4.353 2.071 3.984
4.211 0.000 6.353
4.489 2.071 8.799
-1.133 0.000 10.410
1.835 2.071 0.040
2.510 0.000 4.261
2.498 0.000 8.439
1.914 2.071 14.024
2.685 2.071 11.833
3.463 0.000 10.704
5.590 2.071 1.383
5.971 0.000 2.546
6.032 2.071 6.387

Version B
Mg6Si5 | the Alexandria database | PBE-GGA | relaxed; volume = 19.0 Å³ per atom
1.0
7.061 0.000 0.000
0.000 4.103 0.000
-2.579 0.000 14.422
Mg Si
12 10
Cartesian
0.000 0.000 0.000
-0.356 2.051 2.655
-0.692 2.051 9.739
0.720 0.000 4.598
0.684 0.000 7.711
2.340 2.051 0.273
3.152 2.051 3.654
1.902 0.000 13.128
3.390 0.000 6.116
3.228 2.051 8.510
4.177 0.000 10.665
5.758 2.051 6.115
-1.996 2.051 12.456
-0.529 0.000 12.036
1.745 0.000 2.104
1.588 2.051 6.154
1.284 0.000 10.313
2.497 2.051 11.223
4.223 0.000 1.842
5.022 2.051 0.573
5.136 0.000 4.107
5.118 0.000 8.141

Version C
Mg6Si5 | the Alexandria database | PBE-GGA | relaxed; volume = 20.2 Å³ per atom
1.0
4.622 0.000 0.000
-0.897 6.824 0.000
-0.698 -1.690 14.071
Mg Si
12 10
Cartesian
0.000 0.000 0.000
-0.101 0.026 3.056
-0.431 3.227 3.285
0.959 1.571 10.114
1.258 5.207 1.524
1.249 5.268 4.669
2.238 1.612 1.679
2.255 1.515 4.950
3.324 -0.478 8.389
3.173 0.225 11.720
3.380 2.618 8.240
3.219 3.642 11.095
-0.157 -0.312 5.713
-0.081 0.994 13.932
1.024 -1.026 10.503
0.984 1.064 7.398
1.022 3.487 6.800
0.730 4.806 12.671
1.090 4.066 9.162
1.373 2.486 12.731
3.497 4.014 0.684
3.448 4.075 5.915

Verdict on stability: version C comes out at the bottom.

Version A
Mg6Si5 | the Alexandria database | PBE-GGA | relaxed; volume = 19.3 Å³ per atom
1.0
7.184 0.000 0.000
0.000 4.178 0.000
-3.283 0.000 14.142
Mg Si
12 10
Cartesian
0.000 0.000 0.000
-2.473 0.000 10.717
-0.380 2.089 2.634
0.047 2.089 6.397
-0.047 0.000 8.641
0.010 2.089 10.810
0.324 0.000 13.106
2.531 2.089 3.933
2.583 2.089 8.680
4.479 0.000 2.031
2.787 2.089 12.077
4.524 0.000 7.028
-1.814 2.089 8.755
-1.753 2.089 12.822
0.956 0.000 4.500
1.747 0.000 2.144
2.623 2.089 0.880
1.842 0.000 6.736
1.847 0.000 10.613
5.090 2.089 0.429
4.820 2.089 5.069
5.821 0.000 4.343

Version B
Mg6Si5 | the Alexandria database | PBE-GGA | relaxed; volume = 20.1 Å³ per atom
1.0
5.421 0.000 0.000
0.021 6.294 0.000
2.494 1.322 12.928
Mg Si
12 10
Cartesian
0.000 0.000 0.000
6.885 3.859 7.538
1.891 3.155 1.400
2.584 6.212 1.832
4.161 5.547 8.644
3.694 6.288 5.445
5.254 6.232 11.660
4.367 3.185 5.733
6.360 2.317 10.081
4.575 2.992 0.201
5.125 4.703 2.837
5.175 1.496 2.955
2.707 5.643 11.071
2.523 1.183 7.652
3.365 3.323 10.826
2.472 1.941 3.851
2.492 4.349 3.851
4.049 2.828 8.522
5.031 2.611 12.428
6.743 6.045 9.185
6.234 5.241 5.329
6.451 1.323 5.702

Verdict on stability: version B comes out at the bottom.

Version A
Mg6Si5 | the Alexandria database | PBE-GGA | relaxed; volume = 19.2 Å³ per atom
1.0
6.872 0.000 0.000
0.000 3.943 0.000
-2.379 0.000 15.593
Mg Si
12 10
Cartesian
0.000 0.000 0.000
-0.892 1.972 6.324
0.008 1.972 2.851
-0.858 1.972 13.494
-0.173 1.972 9.824
1.269 0.000 5.058
0.959 0.000 11.984
1.027 0.000 14.984
2.326 1.972 7.273
3.439 1.972 4.052
2.913 1.972 13.503
4.515 0.000 11.540
0.438 0.000 7.764
1.987 1.972 0.746
2.065 0.000 2.323
2.063 0.000 9.549
3.894 0.000 6.089
4.531 0.000 2.176
4.875 1.972 0.743
3.812 1.972 9.556
4.912 0.000 8.355
5.539 0.000 4.352

Version B
Mg6Si5 | the Alexandria database | PBE-GGA | relaxed; volume = 19.8 Å³ per atom
1.0
4.457 0.000 0.000
0.969 6.990 0.000
1.556 0.061 13.978
Mg Si
12 10
Cartesian
0.000 0.000 0.000
0.803 1.977 4.716
1.267 2.478 7.964
1.568 0.724 10.806
2.224 3.508 12.967
2.665 4.710 9.800
2.910 6.856 2.499
2.836 3.585 3.280
3.420 3.858 6.466
4.727 5.664 11.965
3.573 0.624 6.779
4.877 5.481 4.470
2.467 6.464 5.694
2.865 4.748 0.544
3.523 1.827 9.207
3.877 1.324 12.594
2.706 2.270 0.761
4.543 3.074 11.041
4.897 6.423 9.383
5.650 5.160 7.426
5.015 4.814 1.842
4.955 2.180 1.943

Verdict on stability: version B comes out at the bottom.

Version A
Mg4SiSn | the Alexandria database | PBE-GGA | relaxed; volume = 22.4 Å³ per atom
1.0
0.000 4.064 4.064
4.064 0.000 4.064
4.064 4.064 0.000
Mg Si Sn
4 1 1
Cartesian
1.013 1.013 1.013
3.051 3.051 1.013
3.051 1.013 3.051
1.013 3.051 3.051
6.096 6.096 6.096
4.064 4.064 4.064

Version B
Mg4SiSn | the Alexandria database | PBE-GGA | relaxed; volume = 23.8 Å³ per atom
1.0
2.330 1.345 7.601
-2.330 1.345 7.601
0.000 -2.691 7.601
Mg Si Sn
4 1 1
Cartesian
0.000 0.000 2.751
0.000 0.000 8.468
0.000 0.000 14.335
0.000 0.000 20.052
0.000 0.000 0.000
0.000 0.000 11.401

Verdict on stability: version A comes out at the bottom.

Version A
MgSi2Sn2 | the Alexandria database | PBE-GGA | relaxed; volume = 24.5 Å³ per atom
1.0
5.123 0.000 0.000
0.740 6.421 0.000
0.676 3.126 7.457
Mg Si Sn
2 4 4
Cartesian
0.000 0.000 0.000
2.180 4.717 2.839
1.685 7.166 4.222
2.877 2.051 3.625
5.147 8.292 5.453
5.080 6.882 2.511
2.340 5.258 6.051
2.958 4.357 0.019
4.764 4.399 4.578
5.080 2.981 1.598

Version B
MgSi2Sn2 | the Alexandria database | PBE-GGA | relaxed; volume = 23.6 Å³ per atom
1.0
4.314 0.000 0.000
0.000 3.690 0.000
-0.483 0.000 7.426
Mg Si Sn
1 2 2
Cartesian
0.000 0.000 0.000
2.084 1.845 0.568
2.200 0.000 2.019
0.055 0.000 3.805
2.140 1.845 5.344

Version C
MgSi2Sn2 | the Alexandria database | PBE-GGA | relaxed; volume = 22.9 Å³ per atom
1.0
5.355 0.000 0.000
0.000 5.355 0.000
0.000 0.000 7.986
Mg Si Sn
2 4 4
Cartesian
0.000 0.000 0.000
2.677 2.677 3.993
0.000 0.000 2.812
0.000 0.000 5.174
2.677 2.677 1.181
2.677 2.677 6.805
0.000 2.677 1.996
0.000 2.677 5.989
2.677 0.000 1.996
2.677 0.000 5.989

Verdict on stability: version C comes out at the bottom.